The following is a DFT calculation (PBE) of an optimized crystal structure of NbH2.

The calculation puts the magnetization at 0.10 μB per cell. The value obtained for the electronic total energy is -28.5 eV per cell.

Structure (CIF):
```
data_NbH2
_symmetry_space_group_name_H-M 'P 1'
_symmetry_Int_Tables_number 1
_symmetry_space_group_name_Hall 'P 1'
_cell_length_a 4.2429
_cell_length_b 4.2429
_cell_length_c 4.2429
_cell_angle_alpha 60.00
_cell_angle_beta 60.00
_cell_angle_gamma 60.00
loop_
_atom_site_label
_atom_site_fract_x
_atom_site_fract_y
_atom_site_fract_z
Nb1 0.1250 0.1250 0.1250
Nb2 0.8750 0.8750 0.8750
H1 0.0000 0.5000 0.5000
H2 0.5000 0.0000 0.5000
H3 0.5000 0.5000 0.0000
H4 0.5000 0.5000 0.5000
```

---

The following is a DFT calculation (PBE) of an optimized crystal structure of ScSnPt.

The calculation puts the magnetization at 0.00 μB per cell. The value obtained for the electronic total energy is -56.8 eV per cell.

Structure (CIF):
```
data_ScSnPt
_symmetry_space_group_name_H-M 'P 1'
_symmetry_Int_Tables_number 1
_symmetry_space_group_name_Hall 'P 1'
_cell_length_a 6.9399
_cell_length_b 6.9399
_cell_length_c 4.2930
_cell_angle_alpha 90.00
_cell_angle_beta 90.00
_cell_angle_gamma 120.00
loop_
_atom_site_label
_atom_site_fract_x
_atom_site_fract_y
_atom_site_fract_z
Sc1 0.0000 0.5606 0.0000
Sc2 0.4394 0.4394 0.0000
Sc3 0.5606 0.0000 0.0000
Sn1 0.0000 0.0000 0.0000
Sn2 0.3333 0.6667 0.5000
Sn3 0.6667 0.3333 0.5000
Pt1 0.0000 0.2466 0.5000
Pt2 0.2466 0.0000 0.5000
Pt3 0.7534 0.7534 0.5000
```

---

The following is a DFT calculation (PBE) of an optimized crystal structure of Zn2I3Br.

The value obtained for the electronic total energy is -12.7 eV per cell.

Structure (CIF):
```
data_Zn2I3Br
_symmetry_space_group_name_H-M 'P 1'
_symmetry_Int_Tables_number 1
_symmetry_space_group_name_Hall 'P 1'
_cell_length_a 4.1142
_cell_length_b 4.2000
_cell_length_c 12.9917
_cell_angle_alpha 90.00
_cell_angle_beta 90.00
_cell_angle_gamma 90.00
loop_
_atom_site_label
_atom_site_fract_x
_atom_site_fract_y
_atom_site_fract_z
Zn1 0.0000 0.0000 0.0000
Zn2 0.5000 0.5000 0.4939
I1 0.0000 0.5000 0.3673
I2 0.0000 0.5000 0.8770
I3 0.5000 0.0000 0.6191
Br1 0.5000 0.0000 0.1090
```

---

The following is a DFT calculation (PBE) of an optimized crystal structure of CsRbThSe3.

The calculation puts the magnetization at 0.05 μB per cell. The value obtained for the electronic total energy is -56.1 eV per cell.

Structure (CIF):
```
data_CsRbThSe3
_symmetry_space_group_name_H-M 'P 1'
_symmetry_Int_Tables_number 1
_symmetry_space_group_name_Hall 'P 1'
_cell_length_a 10.0401
_cell_length_b 10.0401
_cell_length_c 12.4478
_cell_angle_alpha 90.00
_cell_angle_beta 90.00
_cell_angle_gamma 154.56
loop_
_atom_site_label
_atom_site_fract_x
_atom_site_fract_y
_atom_site_fract_z
Cs1 0.1504 0.8496 0.7500
Cs2 0.8496 0.1504 0.2500
Rb1 0.1262 0.8738 0.2500
Rb2 0.8738 0.1262 0.7500
Th1 0.5000 0.5000 0.0000
Th2 0.5000 0.5000 0.5000
Se1 0.0971 0.9029 0.0015
Se2 0.0971 0.9029 0.4985
Se3 0.4947 0.5053 0.2500
Se4 0.5053 0.4947 0.7500
Se5 0.9029 0.0971 0.5015
Se6 0.9029 0.0971 0.9985
```

---

The following is a DFT calculation (PBE) of an optimized crystal structure of SrAgPb2.

The value obtained for the electronic total energy is -26.0 eV per cell.

Structure (CIF):
```
data_SrAgPb2
_symmetry_space_group_name_H-M 'P 1'
_symmetry_Int_Tables_number 1
_symmetry_space_group_name_Hall 'P 1'
_cell_length_a 10.9641
_cell_length_b 10.9641
_cell_length_c 4.8588
_cell_angle_alpha 90.00
_cell_angle_beta 90.00
_cell_angle_gamma 154.82
loop_
_atom_site_label
_atom_site_fract_x
_atom_site_fract_y
_atom_site_fract_z
Sr1 0.1060 0.8940 0.7500
Sr2 0.8940 0.1060 0.2500
Ag1 0.3305 0.6695 0.7500
Ag2 0.6695 0.3305 0.2500
Pb1 0.2513 0.7487 0.2500
Pb2 0.4599 0.5401 0.7500
Pb3 0.5401 0.4599 0.2500
Pb4 0.7487 0.2513 0.7500
```

---

The following is a DFT calculation (PBE) of an optimized crystal structure of HfBeFeAs.

Its offset from the most stable computed form is 0 meV/atom. The calculation puts the magnetization at 0.51 μB per cell. The value obtained for the electronic total energy is -26.6 eV per cell.

Structure (CIF):
```
data_HfBeFeAs
_symmetry_space_group_name_H-M 'P 1'
_symmetry_Int_Tables_number 1
_symmetry_space_group_name_Hall 'P 1'
_cell_length_a 4.2597
_cell_length_b 4.2597
_cell_length_c 4.2597
_cell_angle_alpha 60.00
_cell_angle_beta 60.00
_cell_angle_gamma 60.00
loop_
_atom_site_label
_atom_site_fract_x
_atom_site_fract_y
_atom_site_fract_z
Hf1 0.0000 0.0000 0.0000
Be1 0.2500 0.2500 0.2500
Fe1 0.7500 0.7500 0.7500
As1 0.5000 0.5000 0.5000
```

---

The following is a DFT calculation (PBE) of an optimized crystal structure of LaPr2NiPt8.

The calculation puts the energy of formation at -0.87 eV/atom. The calculation puts the magnetization at 0.08 μB per cell. The value obtained for the electronic total energy is -78.9 eV per cell.

Structure (CIF):
```
data_LaPr2NiPt8
_symmetry_space_group_name_H-M 'P 1'
_symmetry_Int_Tables_number 1
_symmetry_space_group_name_Hall 'P 1'
_cell_length_a 9.3289
_cell_length_b 9.3289
_cell_length_c 9.3289
_cell_angle_alpha 34.27
_cell_angle_beta 34.27
_cell_angle_gamma 34.27
loop_
_atom_site_label
_atom_site_fract_x
_atom_site_fract_y
_atom_site_fract_z
La1 0.0000 0.0000 0.0000
Pr1 0.1403 0.1403 0.1403
Pr2 0.8597 0.8597 0.8597
Ni1 0.5000 0.5000 0.5000
Pt1 0.0865 0.5873 0.5873
Pt2 0.3326 0.3326 0.3326
Pt3 0.4127 0.4127 0.9135
Pt4 0.4127 0.9135 0.4127
Pt5 0.5873 0.0865 0.5873
Pt6 0.5873 0.5873 0.0865
Pt7 0.6674 0.6674 0.6674
Pt8 0.9135 0.4127 0.4127
```

---

The following is a DFT calculation (PBE) of an optimized crystal structure of Y3Ga5Co.

The calculation puts the magnetization at 0.00 μB per cell. The value obtained for the electronic total energy is -47.3 eV per cell.

Structure (CIF):
```
data_Y3Ga5Co
_symmetry_space_group_name_H-M 'P 1'
_symmetry_Int_Tables_number 1
_symmetry_space_group_name_Hall 'P 1'
_cell_length_a 6.8864
_cell_length_b 6.8864
_cell_length_c 4.2312
_cell_angle_alpha 90.00
_cell_angle_beta 90.00
_cell_angle_gamma 120.00
loop_
_atom_site_label
_atom_site_fract_x
_atom_site_fract_y
_atom_site_fract_z
Y1 0.0000 0.5968 0.0000
Y2 0.4032 0.4032 0.0000
Y3 0.5968 0.0000 0.0000
Ga1 0.0000 0.2305 0.5000
Ga2 0.2305 0.0000 0.5000
Ga3 0.3333 0.6667 0.5000
Ga4 0.6667 0.3333 0.5000
Ga5 0.7695 0.7695 0.5000
Co1 0.0000 0.0000 0.0000
```